1.
PmZrZnIr2: relaxed, PBE-GGA.

The space group is I-4m2 (No. 119) and the conventional cell measures 4.118, 4.118 and 12.037 Å, with angles of 90.00, 90.00 and 90.00 degrees. The asymmetric unit holds Pm at (0.000, 0.000, 0.000), Zr at (0.000, 0.500, 0.750), Zn at (0.000, 0.500, 0.250) and Ir at (0.000, 0.000, 0.393).

The value obtained for the total magnetization is 0.00 μB per cell. For the energy of formation, the calculation gives -0.646 eV per atom. The calculated total energy comes out at -7.11 eV/atom.

=====

2.
PmZr2Ir3: relaxed, PBE-GGA.

The space group is P4/mmm (No. 123) and the conventional cell measures 3.325, 3.325 and 10.567 Å, with angles of 90.00, 90.00 and 90.00 degrees. The asymmetric unit holds Pm at (0.000, 0.000, 0.000), Zr at (0.000, 0.000, 0.341), Ir at (0.500, 0.500, 0.200) and Ir at (0.500, 0.500, 0.500).

The value obtained for the total magnetization is 0.00 μB per cell. For the energy of formation, the calculation gives -0.748 eV per atom. The calculated total energy comes out at -8.82 eV/atom.

=====

3.
PmZrIr: relaxed, PBE-GGA.

The space group is I4mm (No. 107) and the conventional cell measures 3.445, 3.445 and 11.794 Å, with angles of 90.00, 90.00 and 90.00 degrees. The asymmetric unit holds Pm at (0.000, 0.000, 0.000), Zr at (0.000, 0.000, 0.282) and Ir at (0.000, 0.000, 0.673).

The energy above the lowest structure with this stoichiometry is 0.72 eV/f.u. The value obtained for the total magnetization is 1.72 μB per cell. For the energy of formation, the calculation gives -0.409 eV per atom. The calculated total energy comes out at -7.80 eV/atom.

=====

- Which value of total magnetization does entry 3 give?
  1.72 μB per cell

=====

- Look up the total magnetization of the third one.
  1.72 μB per cell

=====

- Number 2 is which compound?
  PmZr2Ir3